VASP calculation (GGA-PBE) on a relaxed Y2TePt crystal.

a = 3.8482 Å, b = 3.9018 Å, c = 14.6010 Å
α = 90.00°, β = 90.00°, γ = 90.00°
Closest atoms and distances in Å follow each position.
Positions (direct):
Y  0.0000  0.0000  0.0000  2 Pt 2.89, 4 Te 3.14
Y  0.0000  0.5000  0.2195  4 Pt 2.93, 2 Te 3.22
Y  0.5000  0.0000  0.7195  4 Pt 2.93, 2 Te 3.22
Y  0.5000  0.5000  0.5000  2 Pt 2.89, 4 Te 3.14
Te  0.0000  0.0000  0.3946  6 Y 3.14-3.22
Te  0.5000  0.5000  0.8946  6 Y 3.14-3.22
Pt  0.0000  0.5000  0.6478  6 Y 2.89-2.93
Pt  0.5000  0.0000  0.1478  6 Y 2.89-2.93

## Properties
M_tot = 0.0 μB per cell
Fermi-level density of states = 3.41 states/eV/f.u.
uncorrected formation energy = -1112 meV/atom